Record 1
! Li2AsN (PBEsol, optimized geometry); values from VASP
! Density: 3.34 g/cm3
! Total moment: 0.0 Bohr magnetons per cell
! Calculated volume: 204.2 Å³ per cell
! Uncorrected formation energy: -0.03 eV/atom
&SYSTEM
  ibrav = 0, nat = 16, ntyp = 3
/
ATOMIC_SPECIES
Li 6.94 Li.upf
As 74.92 As.upf
N 14.01 N.upf
CELL_PARAMETERS angstrom
7.007 0.000 0.000
0.000 7.007 0.000
0.000 0.000 4.160
ATOMIC_POSITIONS angstrom
Li 0.898 5.255 0.520
Li 1.752 0.898 3.640
Li 1.752 2.606 1.560
Li 2.606 5.255 2.600
Li 4.401 1.752 2.600
Li 5.255 4.401 1.560
Li 5.255 6.110 3.640
Li 6.110 1.752 0.520
As 0.000 0.000 2.080
As 0.000 3.504 3.120
As 3.504 0.000 1.040
As 3.504 3.504 0.000
N 0.000 0.000 0.000
N 0.000 3.504 1.040
N 3.504 0.000 3.120
N 3.504 3.504 2.080

---

Record 2
! Zr3BeAs (PBEsol, optimized geometry); values from VASP
! Density: 5.01 g/cm3
! Total moment: 0.0 Bohr magnetons per cell
! Calculated volume: 118.5 Å³ per cell
! Formation energy: 0.36 eV/atom
&SYSTEM
  ibrav = 0, nat = 5, ntyp = 3
/
ATOMIC_SPECIES
Zr 91.22 Zr.upf
Be 9.01 Be.upf
As 74.92 As.upf
CELL_PARAMETERS angstrom
4.911 0.000 0.000
0.000 4.911 0.000
0.000 0.000 4.911
ATOMIC_POSITIONS angstrom
Zr 0.000 0.000 2.456
Zr 0.000 2.456 0.000
Zr 2.456 0.000 0.000
Be 2.456 2.456 2.456
As 0.000 0.000 0.000

---

Record 3
! TiVCr2 (PBEsol, optimized geometry); values from VASP
! Density: 6.69 g/cm3
! Total moment: 0.0 Bohr magnetons per cell
! Calculated volume: 201.2 Å³ per cell
! Formation energy: 0.03 eV/atom
&SYSTEM
  ibrav = 0, nat = 16, ntyp = 3
/
ATOMIC_SPECIES
Ti 47.87 Ti.upf
V 50.94 V.upf
Cr 52.00 Cr.upf
CELL_PARAMETERS angstrom
5.860 0.000 0.000
0.000 5.860 0.000
0.000 0.000 5.860
ATOMIC_POSITIONS angstrom
Ti 0.000 0.000 0.000
Ti 0.000 2.930 2.930
Ti 2.930 0.000 2.930
Ti 2.930 2.930 0.000
V 0.000 0.000 2.930
V 0.000 2.930 0.000
V 2.930 0.000 0.000
V 2.930 2.930 2.930
Cr 1.465 1.465 1.465
Cr 1.465 1.465 4.395
Cr 1.465 4.395 1.465
Cr 1.465 4.395 4.395
Cr 4.395 1.465 1.465
Cr 4.395 1.465 4.395
Cr 4.395 4.395 1.465
Cr 4.395 4.395 4.395

---

Record 4
! Cu2NiAg (PBEsol, optimized geometry); values from VASP
! Density: 9.75 g/cm3
! Total moment: 0.0 Bohr magnetons per cell
! Calculated volume: 100.0 Å³ per cell
! Formation energy: 0.19 eV/atom
&SYSTEM
  ibrav = 0, nat = 8, ntyp = 3
/
ATOMIC_SPECIES
Cu 63.55 Cu.upf
Ni 58.69 Ni.upf
Ag 107.87 Ag.upf
CELL_PARAMETERS angstrom
5.079 0.000 0.000
0.000 8.435 0.000
-1.040 0.000 2.334
ATOMIC_POSITIONS angstrom
Cu 1.270 2.109 0.000
Cu 1.270 6.326 0.000
Cu 3.809 2.109 0.000
Cu 3.809 6.326 0.000
Ni -0.520 0.000 1.167
Ni 2.019 4.217 1.167
Ag -0.520 4.217 1.167
Ag 2.019 0.000 1.167

---

Record 5
! BeFe2Cl (PBEsol, optimized geometry); values from VASP
! Distance to the lowest polymorph of the same formula: 406 meV/atom
! Density: 5.52 g/cm3
! Total moment: 9.3 Bohr magnetons per cell
! Calculated volume: 94.0 Å³ per cell
! Uncorrected formation energy: 0.52 eV/atom
&SYSTEM
  ibrav = 0, nat = 8, ntyp = 3
/
ATOMIC_SPECIES
Be 9.01 Be.upf
Fe 55.84 Fe.upf
Cl 35.45 Cl.upf
CELL_PARAMETERS angstrom
2.728 0.000 0.000
0.000 4.379 0.000
0.000 0.000 7.868
ATOMIC_POSITIONS angstrom
Be 0.000 0.000 0.000
Be 1.364 2.189 3.934
Fe 0.000 2.189 1.998
Fe 0.000 2.189 5.870
Fe 1.364 0.000 1.936
Fe 1.364 0.000 5.932
Cl 0.000 0.000 3.934
Cl 1.364 2.189 0.000

---

Record 6
! LaZrCl (PBEsol, optimized geometry); values from VASP
! Density: 6.43 g/cm3
! Total moment: 0.0 Bohr magnetons per cell
! Calculated volume: 68.6 Å³ per cell
! Uncorrected formation energy: -0.25 eV/atom
&SYSTEM
  ibrav = 0, nat = 3, ntyp = 3
/
ATOMIC_SPECIES
La 138.91 La.upf
Zr 91.22 Zr.upf
Cl 35.45 Cl.upf
CELL_PARAMETERS angstrom
4.817 0.000 0.000
-2.408 4.171 0.000
0.000 0.000 3.416
ATOMIC_POSITIONS angstrom
La 0.000 0.000 0.000
Zr 2.408 1.390 1.708
Cl 0.000 2.781 1.708

---

Record 7
! LaYAg2 (PBEsol, optimized geometry); values from VASP
! Density: 7.25 g/cm3
! Total moment: 0.0 Bohr magnetons per cell
! Calculated volume: 101.6 Å³ per cell
! Formation energy: -0.25 eV/atom
&SYSTEM
  ibrav = 0, nat = 4, ntyp = 3
/
ATOMIC_SPECIES
La 138.91 La.upf
Y 88.91 Y.upf
Ag 107.87 Ag.upf
CELL_PARAMETERS angstrom
3.797 0.000 0.000
0.000 4.815 0.000
-1.832 0.000 5.557
ATOMIC_POSITIONS angstrom
La 0.000 0.000 0.000
Y 1.947 2.407 2.399
Ag 0.056 0.000 3.082
Ag 0.060 2.407 4.788

---

Record 8
! BeAlTe2 (PBEsol, optimized geometry); values from VASP
! Density: 4.84 g/cm3
! Total moment: 0.0 Bohr magnetons per cell
! Calculated volume: 399.3 Å³ per cell
! Uncorrected formation energy: -0.07 eV/atom
&SYSTEM
  ibrav = 0, nat = 16, ntyp = 3
/
ATOMIC_SPECIES
Be 9.01 Be.upf
Al 26.98 Al.upf
Te 127.60 Te.upf
CELL_PARAMETERS angstrom
6.498 0.000 0.000
0.000 6.498 0.000
0.000 0.000 9.456
ATOMIC_POSITIONS angstrom
Be 0.000 0.000 0.000
Be 0.000 3.249 2.364
Be 3.249 0.000 7.092
Be 3.249 3.249 4.728
Al 0.000 0.000 4.728
Al 0.000 3.249 7.092
Al 3.249 0.000 2.364
Al 3.249 3.249 0.000
Te 1.354 1.625 1.182
Te 1.625 4.603 3.546
Te 1.625 5.144 8.274
Te 1.895 1.625 5.910
Te 4.603 4.874 5.910
Te 4.874 1.354 8.274
Te 4.874 1.895 3.546
Te 5.144 4.874 1.182

---

Record 9
! InPW3 (PBEsol, optimized geometry); values from VASP
! Density: 13.14 g/cm3
! Total moment: 0.0 Bohr magnetons per cell
! Calculated volume: 88.1 Å³ per cell
! Formation energy: 0.84 eV/atom
&SYSTEM
  ibrav = 0, nat = 5, ntyp = 3
/
ATOMIC_SPECIES
In 114.82 In.upf
P 30.97 P.upf
W 183.84 W.upf
CELL_PARAMETERS angstrom
4.450 0.000 0.000
0.000 4.450 0.000
0.000 0.000 4.450
ATOMIC_POSITIONS angstrom
In 0.000 0.000 0.000
P 2.225 2.225 2.225
W 0.000 2.225 2.225
W 2.225 0.000 2.225
W 2.225 2.225 0.000

---

Record 10
! SrP2RuO (PBEsol, optimized geometry); values from VASP
! Density: 4.99 g/cm3
! Total moment: 0.0 Bohr magnetons per cell
! Calculated volume: 88.8 Å³ per cell
! Uncorrected formation energy: -0.45 eV/atom
&SYSTEM
  ibrav = 0, nat = 5, ntyp = 4
/
ATOMIC_SPECIES
Sr 87.62 Sr.upf
P 30.97 P.upf
Ru 101.07 Ru.upf
O 16.00 O.upf
CELL_PARAMETERS angstrom
4.880 0.000 0.000
0.000 4.880 0.000
0.000 0.000 3.729
ATOMIC_POSITIONS angstrom
Sr 0.000 0.000 0.000
P 0.000 2.440 1.864
P 2.440 0.000 1.864
Ru 2.440 2.440 1.864
O 2.440 2.440 0.000

---

Record 11
! CoP2H8O10 (PBEsol, optimized geometry); values from VASP
! Density: 2.67 g/cm3
! Total moment: 6.0 Bohr magnetons per cell
! Uncorrected energy: -256.080 eV/cell
! Calculated volume: 359.0 Å³ per cell
&SYSTEM
  ibrav = 0, nat = 42, ntyp = 4
/
ATOMIC_SPECIES
Co 58.93 Co.upf
P 30.97 P.upf
H 1.01 H.upf
O 16.00 O.upf
CELL_PARAMETERS angstrom
5.183 0.000 0.000
0.000 9.898 0.000
-4.903 0.000 6.997
ATOMIC_POSITIONS angstrom
Co 0.000 0.000 0.000
Co -2.452 4.949 3.499
P -1.219 2.157 2.380
P -3.671 2.793 5.878
P 3.951 7.106 1.119
P 1.499 7.742 4.617
H 0.667 7.260 0.034
H -1.785 7.588 3.532
H -2.048 0.736 5.830
H 0.403 4.213 2.331
H 0.998 5.498 1.590
H -1.454 9.350 5.088
H -0.674 1.022 4.270
H 1.778 3.927 0.771
H -1.498 5.971 6.226
H 0.954 8.877 2.727
H 1.733 0.549 1.909
H -0.718 4.401 5.407
H -0.124 5.686 4.666
H 2.328 9.162 1.167
H 2.064 2.311 3.465
H -0.387 2.639 6.963
O -1.623 6.646 2.526
O -4.075 8.202 6.024
O -3.545 1.272 6.067
O -1.093 3.678 2.568
O 0.267 6.695 0.858
O -2.185 8.152 4.357
O -0.298 1.397 3.376
O -2.749 3.552 6.875
O -1.009 5.276 4.979
O 1.443 9.572 1.481
O -1.163 0.327 5.516
O 1.288 4.622 2.018
O 3.029 6.347 0.122
O 0.577 8.501 3.621
O 2.464 1.746 2.640
O 0.013 3.203 6.139
O 1.373 6.221 4.429
O 3.824 8.627 0.931
O 4.355 1.696 0.973
O 1.903 3.253 4.471

---

Record 12
! K2ZnPt (PBEsol, optimized geometry); values from VASP
! Density: 6.07 g/cm3
! Total moment: 0.0 Bohr magnetons per cell
! Calculated volume: 370.9 Å³ per cell
! Formation energy: 0.20 eV/atom
&SYSTEM
  ibrav = 0, nat = 16, ntyp = 3
/
ATOMIC_SPECIES
K 39.10 K.upf
Zn 65.41 Zn.upf
Pt 195.08 Pt.upf
CELL_PARAMETERS angstrom
7.185 0.000 0.000
0.000 7.185 0.000
0.000 0.000 7.185
ATOMIC_POSITIONS angstrom
K 0.000 0.000 0.000
K 0.000 3.592 3.592
K 1.796 1.796 1.796
K 1.796 5.389 5.389
K 3.592 0.000 3.592
K 3.592 3.592 0.000
K 5.389 1.796 5.389
K 5.389 5.389 1.796
Zn 0.000 0.000 3.592
Zn 0.000 3.592 0.000
Zn 3.592 0.000 0.000
Zn 3.592 3.592 3.592
Pt 1.796 1.796 5.389
Pt 1.796 5.389 1.796
Pt 5.389 1.796 1.796
Pt 5.389 5.389 5.389

---

Question: density of number 6 (LaZrCl)?
Answer: 6.43 g/cm3